No. 1
TlSbOs2 | Alexandria | GGA-PBE | optimized geometry; distance to the lowest polymorph of the same formula = 392 meV per atom; D(E_F) = 1.13 states/eV per atom; E_form (uncorrected) = 83.0 kJ per mole of atoms; space-group type = Imm2; uncorrected energy = -6.377 eV/atom; ρ = 14.950 g/cm3
1.0
-1.506 2.300 5.663
1.506 -2.300 5.663
1.506 2.300 -5.663
Tl Sb Os
1 1 2
Direct
0.000 0.000 0.000
0.714 0.214 0.500
0.301 0.801 0.500
0.490 0.490 0.000

***

No. 2
MnSi2N | Alexandria | GGA-PBE | optimized geometry; D(E_F) = 0.54 states/eV per atom; E_form (uncorrected) = -38.5 kJ per mole of atoms; space-group type = P3m1; uncorrected energy = -7.484 eV/atom; ρ = 4.874 g/cm3
1.0
2.798 0.000 0.000
-1.399 2.423 0.000
0.000 0.000 6.288
Mn Si N
1 2 1
Direct
0.000 0.000 0.000
0.333 0.667 0.699
0.667 0.333 0.259
0.667 0.333 0.542

***

No. 3
CdMoRh | Alexandria | GGA-PBE | optimized geometry; distance to the lowest polymorph of the same formula = 193 meV per atom; D(E_F) = 1.15 states/eV per atom; space-group type = P3m1; formation energy = 0.29 eV/f.u.; uncorrected energy = -6.269 eV/atom; ρ = 10.347 g/cm3
1.0
2.860 0.000 0.000
-1.430 2.477 0.000
0.000 0.000 7.052
Cd Mo Rh
1 1 1
Direct
0.000 0.000 0.000
0.667 0.333 0.362
0.333 0.667 0.652

***

No. 4
V2FeNiH | Alexandria | GGA-PBE | optimized geometry; distance to the lowest polymorph of the same formula = 0 meV per atom; D(E_F) = 0.96 states/eV per atom; space-group type = P4/mmm; uncorrected energy = -7.279 eV/atom; ρ = 7.299 g/cm3
1.0
3.724 0.000 0.000
0.000 3.724 0.000
0.000 0.000 3.566
V Fe Ni H
2 1 1 1
Direct
0.000 0.500 0.000
0.500 0.000 0.000
0.000 0.000 0.500
0.500 0.500 0.500
0.000 0.000 0.000

***

The lowest ρ belongs to which entry? MnSi2N